Entry 1:
A plane-wave DFT calculation with PBE was carried out for a relaxed Ba2Sr5Ca12 crystal.

The structure in POSCAR format:
```
Ba2Sr5Ca12
1.0
-3.769 5.125 4.233
-7.366 -4.603 -7.883
0.325 -7.892 9.844
Ca Sr Ba
12 5 2
direct
0.036 0.587 0.876 Ca
0.594 0.699 0.380 Ca
0.527 0.054 0.371 Ca
0.130 0.261 0.330 Ca
0.895 0.301 0.620 Ca
0.551 0.587 0.876 Ca
0.964 0.413 0.124 Ca
0.105 0.699 0.380 Ca
0.870 0.739 0.670 Ca
0.406 0.301 0.620 Ca
0.449 0.413 0.124 Ca
0.473 0.946 0.629 Ca
0.628 0.255 0.862 Sr
0.295 0.590 0.601 Sr
0.372 0.745 0.138 Sr
0.000 0.000 0.500 Sr
0.705 0.410 0.399 Sr
0.752 0.000 0.000 Ba
0.248 0.000 0.000 Ba
```

The formation energy from the elements comes out at 0.251 eV per atom. The value obtained for the uncorrected energy is -1.659 eV per atom.

Entry 2:
A plane-wave DFT calculation with PBE was carried out for a relaxed La2ZrCo crystal.

The structure in POSCAR format:
```
La2ZrCo
1.0
5.749 0.164 0.000
2.005 5.390 0.000
-3.877 -2.777 3.215
Zr La Co
1 2 1
direct
0.250 0.750 0.500 Zr
0.000 0.000 0.000 La
0.500 0.500 0.000 La
0.750 0.250 0.500 Co
```

The formation energy from the elements comes out at 0.408 eV per atom. The value obtained for the uncorrected energy is -5.970 eV per atom.